No. 1
Computed, not measured: a relaxed structure of ScRe2Hg at the PBE level of DFT.

Electronic total energy, eV/atom: -7.87
E_form, kJ per mole of atoms: 1.0
DOS(E_F), states/eV per atom: 0.838

Cell and atoms, written as POSCAR:
```
ScRe2Hg
1.0
3.0637 0.0000 0.0000
0.0000 3.0637 0.0000
0.0000 0.0000 7.6935
Hg Re Sc
1 2 1
Cartesian
1.5319 1.5319 5.8660
0.0000 0.0000 0.2989
1.5319 1.5319 1.7153
0.0000 0.0000 3.6600
```

***

No. 2
Computed, not measured: a relaxed structure of BeV3H4 at the PBE level of DFT.

Electronic total energy, eV/atom: -5.56
DOS(E_F), states/eV per atom: 0.563

Cell and atoms, written as POSCAR:
```
BeV3H4
1.0
-0.1645 -4.8360 -1.0018
2.0620 0.7737 -4.0731
4.8601 -0.6494 2.3371
Be V H
2 6 8
Cartesian
0.1818 -4.3363 -1.5831
4.0890 -1.7196 -2.6690
1.5418 -1.8602 -3.7232
2.4381 0.2858 -2.1537
1.9667 -2.4032 -1.2826
2.8645 -0.2132 0.2960
4.1511 -2.6951 -0.2322
5.1138 -0.0718 -0.8670
1.8200 -0.0539 -3.7997
0.2197 -2.7722 -1.2273
1.5980 -0.6276 -0.8766
2.7627 -2.7875 -2.8285
4.1579 -0.1439 -2.3744
2.5391 -3.4077 0.0850
4.7807 -3.0571 -1.8581
4.4401 -1.0074 0.4901
```

***

No. 3
Computed, not measured: a relaxed structure of PmNd7Rh2 at the PBE level of DFT.

Electronic total energy, eV/atom: -5.37
E_form, kJ per mole of atoms: -8.2
DOS(E_F), states/eV per atom: 1.452

Cell and atoms, written as POSCAR:
```
PmNd7Rh2
1.0
5.4606 0.0000 0.0000
0.0000 8.5639 -0.0692
0.0000 -3.8401 7.6550
Pm Nd Rh
1 7 2
Cartesian
0.0000 0.0000 0.0000
0.0000 4.9581 2.1762
0.0000 -0.2342 5.4096
2.7303 -0.7487 2.4562
2.7303 5.4725 5.1296
2.7303 2.5345 0.4117
2.7303 2.1893 7.1741
2.7303 2.3619 3.7929
2.7303 4.8316 2.2550
2.7303 -0.1078 5.3308
```

***

No. 4
Computed, not measured: a relaxed structure of Ta2ZnCr at the PBE level of DFT.

Electronic total energy, eV/atom: -8.48
E_form, kJ per mole of atoms: 16.9
DOS(E_F), states/eV per atom: 1.132

Cell and atoms, written as POSCAR:
```
Ta2ZnCr
1.0
2.7410 0.0230 0.0000
-0.7874 2.6256 0.0000
0.0000 0.0000 8.8026
Cr Ta Zn
1 2 1
Cartesian
0.9768 1.3243 6.5611
0.0000 0.0000 8.6292
0.9768 1.3243 2.2590
0.0000 0.0000 4.5572
```

***

No. 5
Computed, not measured: a relaxed structure of CaPrSb2Pd5 at the PBE level of DFT.

Formation energy without anion corrections, eV per atom: -0.69
Electronic total energy, eV/atom: -5.24
DOS(E_F), states/eV per atom: 0.241

Cell and atoms, written as POSCAR:
```
CaPrSb2Pd5
1.0
-2.2502 2.2125 3.4079
0.2431 -3.8153 2.6376
7.6225 2.7368 3.2562
Ca Pr Sb Pd
1 1 2 5
Cartesian
3.8113 1.3684 1.6281
0.0000 0.0000 0.0000
0.2441 -0.3534 3.5557
5.3714 1.4875 5.7459
2.3639 -1.1026 2.2766
1.1172 1.9113 2.6618
5.5018 0.0241 3.6171
4.2552 3.0380 4.0023
2.8078 0.5670 4.6508
```

***

No. 6
Computed, not measured: a relaxed structure of Ac3Ni2Ir7 at the PBE level of DFT.

Electronic total energy, eV/atom: -7.62
E_form, kJ per mole of atoms: -44.6
DOS(E_F), states/eV per atom: 1.121

Cell and atoms, written as POSCAR:
```
Ac3Ni2Ir7
1.0
5.2110 0.0000 1.6310
2.3502 4.6509 1.6310
-0.0427 -0.0263 9.2764
Ac Ni Ir
3 2 7
Cartesian
0.0000 0.0000 0.0000
6.4857 3.9893 6.6985
1.0329 0.6353 5.8399
5.0025 3.0770 11.4370
2.5160 1.5476 1.1015
3.7593 2.3123 6.2692
5.7892 1.9593 4.3507
4.3598 4.2832 4.3507
3.1854 1.9593 3.5357
1.7293 2.6653 8.1878
4.3331 2.6653 9.0027
3.1588 0.3414 8.1878
```

***

No. 7
Computed, not measured: a relaxed structure of LiBeSn at the PBE level of DFT.

Electronic total energy, eV/atom: -3.25
E_form, kJ per mole of atoms: -3.9
DOS(E_F), states/eV per atom: 0.272

Cell and atoms, written as POSCAR:
```
LiBeSn
1.0
4.3783 0.0000 0.0341
0.0000 3.8287 0.0000
-1.0457 0.0000 6.3872
Li Be Sn
2 2 2
Cartesian
2.3112 0.9572 5.3366
1.0213 2.8715 1.0847
1.0801 0.9572 3.0725
2.2525 2.8715 3.3488
3.2156 0.9572 1.8652
0.1170 2.8715 4.5562
```

***

No. 8
Computed, not measured: a relaxed structure of LiPmGe2Au4 at the PBE level of DFT.

Electronic total energy, eV/atom: -4.08
E_form, kJ per mole of atoms: -43.7
DOS(E_F), states/eV per atom: 0.357

Cell and atoms, written as POSCAR:
```
LiPmGe2Au4
1.0
-1.2780 -4.0335 -1.7144
-0.4189 -3.6198 2.7501
-8.7896 -0.5388 1.7412
Li Pm Ge Au
1 1 2 4
Cartesian
-5.2432 -4.0960 1.3885
0.0000 0.0000 0.0000
-7.6770 -6.1900 2.0508
-2.8094 -2.0020 0.7261
-7.8229 -3.4648 1.8263
-5.0594 -6.8305 1.6065
-5.4270 -1.3616 1.1704
-2.6636 -4.7272 0.9506
```

***

No. 9
Computed, not measured: a relaxed structure of PmSm2HoEr at the PBE level of DFT.

Electronic total energy, eV/atom: -4.27
E_form, kJ per mole of atoms: 38.5
DOS(E_F), states/eV per atom: 1.508

Cell and atoms, written as POSCAR:
```
PmSm2HoEr
1.0
-2.7370 -6.6276 -0.9713
1.5240 0.5809 -8.2581
4.4793 -2.5732 4.9357
Pm Sm Ho Er
2 4 2 2
Cartesian
2.4320 -2.3918 -4.0096
0.8343 -6.2281 -0.2841
-0.8994 -3.1350 -3.0278
1.0548 0.4021 -5.7159
-0.3137 -2.9117 -6.2016
0.4691 0.1788 -2.5422
5.2321 -3.6113 -3.5786
-1.9658 -5.0086 -0.7151
1.1245 -5.7321 -4.4858
2.1418 -2.8877 0.1921
```

***

No. 10
Computed, not measured: a relaxed structure of Sr3Y2UN6 at the PBE level of DFT.

Formation energy without anion corrections, eV per atom: -1.30
Electronic total energy, eV/atom: -7.90

Cell and atoms, written as POSCAR:
```
Sr3Y2UN6
1.0
-5.0166 1.5743 3.1981
-0.5029 -1.6001 -5.9211
1.0723 -5.7303 2.5255
Sr Y U N
3 2 1 6
Cartesian
-0.7246 -3.9323 -3.1272
-3.7226 -1.8238 2.9297
-2.2236 -2.8780 -0.0987
-2.0077 -0.5418 -2.8810
-3.5118 0.5161 0.1580
0.0000 0.0000 0.0000
-4.1358 -4.0848 1.2917
-3.9866 -1.1890 -1.5593
-0.3114 -1.6713 -1.4892
-2.7468 -5.0616 -1.5144
-0.4607 -4.5670 1.3618
-1.7004 -0.6945 1.3169
```